A crystal of TlFe relaxed with PBEsol. Source: Alexandria, functional meta-GGA SCAN.

## Properties
**Energy of formation**: 771 meV per atom

```
data_TlFe
_chemical_formula_sum 'Tl8 Fe8'
_cell_length_a 6.575
_cell_length_b 6.575
_cell_length_c 6.575
_cell_angle_alpha 90.00
_cell_angle_beta 90.00
_cell_angle_gamma 90.00
_space_group_name_H-M_alt 'P 1'
_space_group_IT_number 1
_space_group_name_Hall 'P 1'
loop_
_atom_site_label
_atom_site_fract_x
_atom_site_fract_y
_atom_site_fract_z
_atom_site_occupancy
Tl1 0.125 0.125 0.125 1
Tl2 0.125 0.625 0.625 1
Tl3 0.375 0.375 0.875 1
Tl4 0.375 0.875 0.375 1
Tl5 0.625 0.125 0.625 1
Tl6 0.625 0.625 0.125 1
Tl7 0.875 0.375 0.375 1
Tl8 0.875 0.875 0.875 1
Fe1 0.125 0.125 0.625 1
Fe2 0.125 0.625 0.125 1
Fe3 0.375 0.375 0.375 1
Fe4 0.375 0.875 0.875 1
Fe5 0.625 0.125 0.125 1
Fe6 0.625 0.625 0.625 1
Fe7 0.875 0.375 0.875 1
Fe8 0.875 0.875 0.375 1
```